# 1
CePaRh3: optimized geometry, PBE.

Output
DOS at the Fermi energy   15.0 states/eV per cell
DFT total energy   -81.7 eV per cell
Calculated formation energy   -0.675 eV per atom

Unit cell a=5.2918 b=5.6696 c=7.1608 alpha=113.32 beta=90.00 gamma=90.00
With the nearest neighbours (Å) after each atom.
Positions (direct):
Rh  0.2500  0.6045  0.7074  1 Pa 2.53, 3 Rh 2.73-2.83
Rh  0.7500  0.3955  0.2926  1 Pa 2.53, 3 Rh 2.73-2.83
Rh  0.7500  0.8971  0.2926  1 Pa 2.53, 3 Rh 2.73-2.83
Rh  0.0000  0.0000  0.0000  6 Rh 2.65-2.73, 2 Pa 2.88
Rh  0.2500  0.1029  0.7074  1 Pa 2.53, 3 Rh 2.73-2.83
Rh  0.5000  0.0000  0.0000  6 Rh 2.65-2.73, 2 Pa 2.88
Ce  0.2500  0.5660  0.1320  10 Rh 3.13-3.25, 2 Ce 3.16, 2 Pa 3.30
Ce  0.7500  0.4340  0.8680  10 Rh 3.13-3.25, 2 Ce 3.16, 2 Pa 3.30
Pa  0.2500  0.1943  0.3886  2 Rh 2.53
Pa  0.7500  0.8057  0.6114  2 Rh 2.53

=====

# 2
MgNiIr: optimized geometry, PBE.

Output
DOS at the Fermi energy   4.0 states/eV per cell
Offset from the most stable computed form   96 kJ/mol of formula units
DFT total energy   -16.1 eV per cell
Calculated formation energy   0.062 eV per atom

Unit cell a=6.7974 b=6.5744 c=2.6997 alpha=83.03 beta=73.75 gamma=23.22
With the nearest neighbours (Å) after each atom.
Positions (direct):
Mg  0.3296  0.3296  0.6704  2 Ni 2.56, 2 Ir 2.68, 4 Mg 2.70
Ni  0.6660  0.6660  0.3340  2 Ir 2.54, 2 Mg 2.56, 4 Ni 2.70
Ir  0.0044  0.0044  0.9956  2 Ni 2.54, 2 Mg 2.68, 4 Ir 2.70

=====

# 3
NbReTcW: optimized geometry, PBE.

Output
DOS at the Fermi energy   2.5 states/eV per cell
DFT total energy   -46.3 eV per cell
Calculated formation energy   -0.124 eV per atom

Unit cell a=3.1573 b=4.4666 c=4.5167 alpha=90.00 beta=90.00 gamma=90.00
With the nearest neighbours (Å) after each atom.
Positions (direct):
Tc  0.5000  0.0000  0.5000  4 Nb 2.73, 4 W 2.76
Re  0.5000  0.5000  0.0000  4 W 2.73, 4 Nb 2.76
Nb  0.0000  0.5000  0.5000  4 Tc 2.73, 4 Re 2.76
W  0.0000  0.0000  0.0000  4 Re 2.73, 4 Tc 2.76

=====

# 4
ScAs2Br: optimized geometry, PBE.

Output
Uncorrected formation energy   -0.598 eV per atom
DOS at the Fermi energy   0.7 states/eV per cell
Offset from the most stable computed form   79 kJ/mol of formula units
DFT total energy   -19.7 eV per cell

Unit cell a=5.3622 b=5.3622 c=5.2908 alpha=81.46 beta=81.46 gamma=38.60
With the nearest neighbours (Å) after each atom.
Positions (direct):
As  0.9822  0.9822  0.0945  2 As 2.48
As  0.5178  0.5178  0.4055  2 As 2.48
Br  0.7500  0.7500  0.7500  4 Sc 3.18, 6 As 3.19-3.50, 2 Br 3.54
Sc  0.2500  0.2500  0.2500  6 As 2.95-2.96, 4 Br 3.18

=====

# 5
Ca3Ga3Ag8: optimized geometry, PBE.

Output
DOS at the Fermi energy   4.8 states/eV per cell
DFT total energy   -41.0 eV per cell
Calculated formation energy   -0.224 eV per atom

Unit cell a=4.6343 b=8.5371 c=8.5371 alpha=70.65 beta=74.25 gamma=74.25
With the nearest neighbours (Å) after each atom.
Positions (direct):
Ga  0.5000  0.0000  0.0000  4 Ag 2.66, 4 Ga 2.94
Ga  0.0000  0.8172  0.1828  6 Ag 2.73-2.87, 2 Ga 2.94
Ga  0.0000  0.1828  0.8172  6 Ag 2.73-2.87, 2 Ga 2.94
Ca  0.2026  0.7974  0.7974  4 Ga 3.22-3.53, 10 Ag 3.25-3.60
Ca  0.7974  0.2026  0.2026  4 Ga 3.22-3.53, 10 Ag 3.25-3.60
Ca  0.5000  0.5000  0.5000  12 Ag 3.31-3.42
Ag  0.6270  0.6629  0.0830  3 Ga 2.66-2.87, 3 Ag 2.78-2.89
Ag  0.6270  0.0830  0.6629  3 Ga 2.66-2.87, 3 Ag 2.78-2.89
Ag  0.3730  0.3371  0.9170  3 Ga 2.66-2.87, 3 Ag 2.78-2.89
Ag  0.8405  0.7993  0.5197  1 Ga 2.73, 4 Ag 2.76-2.89
Ag  0.1595  0.4803  0.2007  1 Ga 2.73, 4 Ag 2.76-2.89
Ag  0.1595  0.2007  0.4803  1 Ga 2.73, 4 Ag 2.76-2.89
Ag  0.8405  0.5197  0.7993  1 Ga 2.73, 4 Ag 2.76-2.89
Ag  0.3730  0.9170  0.3371  3 Ga 2.66-2.87, 3 Ag 2.78-2.89

=====

# 6
SrLa2Be: optimized geometry, PBE.

Output
DOS at the Fermi energy   3.4 states/eV per cell
DFT total energy   -14.1 eV per cell
Calculated formation energy   0.287 eV per atom

Unit cell a=7.9497 b=7.9497 c=5.0390 alpha=71.50 beta=71.50 gamma=26.93
With the nearest neighbours (Å) after each atom.
Positions (direct):
Sr  0.5724  0.5724  0.4275  2 Be 3.22
La  0.9014  0.9014  0.0986  2 Be 2.86, 2 La 3.14
La  0.7737  0.7737  0.7264  2 La 3.14, 4 Be 3.14
Be  0.2525  0.2525  0.2474  6 La 2.86-3.14